Li3ErZr2Se6 | PBE | optimized geometry

Summary:
SG ... C2/m (12)
D(E_F) ... 4.5 states/eV/cell
Magnetic moment ... 0.00 Bohr magnetons per cell
Theoretical density ... 5.5 g/cm³
Final energy ... -5.4542 eV per atom
Volume ... 21.151 A^3/atom
Raw formation energy ... -1.4285 eV/atom

Structure (POSCAR):
```
Li3ErZr2Se6
1.0
3.3379 -5.7803 0.0000
3.3379 5.7803 0.0000
-2.2268 0.0000 6.5774
Li Er Zr Se
3 1 2 6
direct
0.0000 0.0000 0.0000 Li
0.3350 0.6650 0.0000 Li
0.6650 0.3350 0.0000 Li
0.5000 0.5000 0.5000 Er
0.1665 0.8335 0.5000 Zr
0.8335 0.1665 0.5000 Zr
0.0739 0.4158 0.2473 Se
0.2429 0.2429 0.7535 Se
0.4158 0.0739 0.2473 Se
0.5842 0.9261 0.7527 Se
0.7571 0.7571 0.2465 Se
0.9261 0.5842 0.7527 Se
```